(1)
First-principles (PBE) data for a geometry-optimized Ba2TiHgAs structure, as listed in Alexandria.

## Properties
ΔE_f   0.335 eV/atom
VASP energy   -3.00 eV per atom
Magnetic moment   0.01 μB/atom

abc: 6.3024 5.1362 6.3024
angles: 90.00 90.00 90.00
Atoms (fractional coordinates):
Hg  0.0000  0.0000  0.0000
Ti  0.0000  0.5000  0.0000
As  0.5000  0.5000  0.5000
Ba  0.5000  0.0000  0.0000
Ba  0.0000  0.0000  0.5000

---

(2)
First-principles (PBE) data for a geometry-optimized Pr5Y2HoTh structure, as listed in Alexandria.

## Properties
ΔE_f   0.137 eV/atom
VASP energy   -5.29 eV per atom
Magnetic moment   0.00 μB/atom

abc: 5.4635 11.2631 10.6722
angles: 90.00 90.00 104.04
Atoms (fractional coordinates):
Pr  0.5001  0.0002  0.2583
Pr  0.6254  0.2507  0.5083
Pr  0.7220  0.4439  0.8156
Pr  0.4999  0.9998  0.7583
Pr  0.3746  0.7493  0.0083
Pr  0.0017  0.0033  0.5082
Pr  0.2780  0.5560  0.7008
Pr  0.7220  0.4440  0.2008
Pr  0.9983  0.9967  0.0082
Pr  0.2780  0.5561  0.3156
Th  0.2133  0.4266  0.0082
Th  0.7867  0.5734  0.5082
Y  0.1129  0.2258  0.7624
Y  0.8871  0.7742  0.2624
Y  0.8870  0.7741  0.7540
Y  0.1130  0.2259  0.2540
Ho  0.6022  0.2045  0.0082
Ho  0.3978  0.7955  0.5082